<P>
A plane-wave DFT calculation with PBEsol was carried out for SbBr after structural relaxation.

Cell lengths 4.428, 4.290, 8.002 Å; angles 90.00, 100.55, 90.00 degrees
Space group P2_1/m (No. 11)
Symmetry-distinct sites (fractional):
Sb1 0.221 0.250 0.491
Br1 0.372 0.250 0.814

Magnetic moment in μB/f.u.: 0.00

<Q>
A plane-wave DFT calculation with PBEsol was carried out for SbBr after structural relaxation.

Cell lengths 6.067, 3.261, 6.300 Å; angles 90.00, 90.00, 90.00 degrees
Space group Pmma (No. 51)
Symmetry-distinct sites (fractional):
Sb1 0.250 0.000 0.029
Br1 0.250 0.500 0.665

Magnetic moment in μB/f.u.: 0.00

It comes down to <P>, which is 243 meV/atom more stable than the next structure.

<P>
A plane-wave DFT calculation with PBEsol was carried out for SbSe2Br after structural relaxation.

Cell lengths 11.677, 3.589, 5.172 Å; angles 90.00, 100.71, 90.00 degrees
Space group C2/m (No. 12)
Symmetry-distinct sites (fractional):
Sb1 0.000 0.000 0.000
Se1 0.192 0.500 0.115
Br1 0.000 0.500 0.500

Magnetic moment in μB/f.u.: 0.00

<Q>
A plane-wave DFT calculation with PBEsol was carried out for SbSe2Br after structural relaxation.

Cell lengths 3.383, 6.369, 9.060 Å; angles 90.00, 90.00, 90.00 degrees
Space group Cmm2 (No. 35)
Symmetry-distinct sites (fractional):
Sb1 0.000 0.000 0.000
Se1 0.000 0.000 0.474
Se2 0.000 0.500 0.273
Br1 0.000 0.500 0.737

Magnetic moment in μB/f.u.: 0.00

It comes down to <P>, which is 121 meV/atom more stable than the next structure.

<P>
A plane-wave DFT calculation with PBEsol was carried out for SbSeBr2 after structural relaxation.

Cell lengths 3.528, 5.975, 9.194 Å; angles 90.00, 90.00, 90.00 degrees
Space group Cmmm (No. 65)
Symmetry-distinct sites (fractional):
Sb1 0.000 0.000 0.000
Se1 0.000 0.000 0.500
Br1 0.000 0.500 0.254

Magnetic moment in μB/f.u.: 0.00

<Q>
A plane-wave DFT calculation with PBEsol was carried out for SbSeBr2 after structural relaxation.

Cell lengths 7.200, 7.200, 7.200 Å; angles 90.00, 90.00, 90.00 degrees
Space group Fm-3m (No. 225)
Symmetry-distinct sites (fractional):
Sb1 0.000 0.000 0.000
Se1 0.000 0.000 0.500
Br1 0.250 0.250 0.250

Magnetic moment in μB/f.u.: 0.58

<R>
A plane-wave DFT calculation with PBEsol was carried out for SbSeBr2 after structural relaxation.

Cell lengths 7.157, 7.157, 7.157 Å; angles 90.00, 90.00, 90.00 degrees
Space group F-43m (No. 216)
Symmetry-distinct sites (fractional):
Sb1 0.000 0.000 0.000
Se1 0.250 0.250 0.750
Br1 0.000 0.000 0.500
Br2 0.250 0.250 0.250

Magnetic moment in μB/f.u.: 0.00

It comes down to <R>, which is 135 meV/atom more stable than the next structure.